1.
Here is a PBEsol-optimized structure of Tl3TeF from Alexandria. Energies are from meta-GGA SCAN.

extended XYZ file:
```
5
Lattice="5.195 0.000 0.000 0.000 5.195 0.000 0.000 0.000 5.195" Properties=species:S:1:pos:R:3 pbc="T T T"
Tl 0.000 0.000 2.597
Tl 0.000 2.597 0.000
Tl 2.597 0.000 0.000
Te 2.597 2.597 2.597
F 0.000 0.000 0.000
```

## Properties
For the uncorrected formation energy, the calculation gives -0.8445 eV per atom. Its symmetry is No. 221.

---

2.
Here is a PBEsol-optimized structure of K3SrI from Alexandria. Energies are from meta-GGA SCAN.

extended XYZ file:
```
5
Lattice="6.794 0.000 0.000 0.000 6.794 0.000 0.000 0.000 6.794" Properties=species:S:1:pos:R:3 pbc="T T T"
K 0.000 0.000 3.397
K 0.000 3.397 0.000
K 3.397 0.000 0.000
Sr 3.397 3.397 3.397
I 0.000 0.000 0.000
```

## Properties
For the uncorrected formation energy, the calculation gives -0.4490 eV per atom. Its symmetry is No. 221.

---

3.
Here is a PBEsol-optimized structure of ZrCd2Hg from Alexandria. Energies are from meta-GGA SCAN.

extended XYZ file:
```
8
Lattice="6.134 0.000 0.000 0.000 9.301 0.000 0.000 0.000 2.949" Properties=species:S:1:pos:R:3 pbc="T T T"
Zr 0.000 0.000 0.000
Zr 3.067 4.651 0.000
Cd 1.534 2.325 1.475
Cd 1.534 6.976 1.475
Cd 4.601 2.325 1.475
Cd 4.601 6.976 1.475
Hg 0.000 4.651 0.000
Hg 3.067 0.000 0.000
```

## Properties
As for the formation energy: -0.065 eV/atom. Its symmetry is No. 65.

---

4.
Here is a PBEsol-optimized structure of Si2HgW from Alexandria. Energies are from meta-GGA SCAN.

extended XYZ file:
```
16
Lattice="6.056 0.000 0.000 0.000 6.056 0.000 0.000 0.000 9.976" Properties=species:S:1:pos:R:3 pbc="T T T"
Si 1.357 1.514 1.247
Si 1.514 4.385 3.741
Si 1.514 4.699 8.729
Si 1.671 1.514 6.235
Si 4.385 4.542 6.235
Si 4.542 1.357 8.729
Si 4.542 1.671 3.741
Si 4.699 4.542 1.247
Hg 0.000 0.000 4.988
Hg 0.000 3.028 7.482
Hg 3.028 0.000 2.494
Hg 3.028 3.028 0.000
W 0.000 0.000 0.000
W 0.000 3.028 2.494
W 3.028 0.000 7.482
W 3.028 3.028 4.988
```

## Properties
For the uncorrected formation energy, the calculation gives 1.0256 eV per atom. Its symmetry is No. 122.